Entry 1:
First-principles (PBE-GGA) data for a geometry-optimized YThTi4 structure, as listed in Alexandria via LeMat-Bulk.

The value obtained for the calculated volume is 22.133 Å³/atom. Its uncorrected energy is -176.631 eV for the cell shown. The crystal system is cubic. The mass density is 6.41 g cm⁻³. As for the energy of formation: 218 meV per atom.

It has space group F-43m (No. 216), with a = 8.099 Å, b = 8.099 Å, c = 8.099 Å, α = 90.00°, β = 90.00° and γ = 90.00°. Symmetry generates all atoms from Y at (0.000, 0.000, 0.000), Th at (0.250, 0.250, 0.750) and Ti at (0.124, 0.124, 0.376).


Entry 2:
First-principles (PBE-GGA) data for a geometry-optimized EuLuRh2 structure, as listed in Alexandria via LeMat-Bulk.

The value obtained for the calculated volume is 20.266 Å³/atom. Its uncorrected energy is -32.260 eV for the cell shown. The crystal system is tetragonal. The mass density is 10.91 g cm⁻³. As for the energy of formation: -690 meV per atom.

It has space group P4/mmm (No. 123), with a = 3.376 Å, b = 3.376 Å, c = 7.113 Å, α = 90.00°, β = 90.00° and γ = 90.00°. Symmetry generates all atoms from Eu at (0.000, 0.000, 0.000), Lu at (0.000, 0.000, 0.500) and Rh at (0.500, 0.500, 0.277).


Entry 3:
First-principles (PBE-GGA) data for a geometry-optimized Cs2ZnSb structure, as listed in Alexandria via LeMat-Bulk.

The value obtained for the calculated volume is 46.608 Å³/atom. Its uncorrected energy is -15.840 eV for the cell shown. Its uncorrected formation energy is -204 meV per atom. The crystal system is monoclinic. The mass density is 4.03 g cm⁻³.

It has space group P2_1/m (No. 11), with a = 6.399 Å, b = 5.991 Å, c = 10.228 Å, α = 90.00°, β = 108.02° and γ = 90.00°. Symmetry generates all atoms from Cs at (0.080, 0.250, 0.159), Cs at (0.265, 0.750, 0.529), Zn at (0.500, 0.000, 0.000) and Sb at (0.388, 0.250, 0.781).


Entry 4:
First-principles (PBE-GGA) data for a geometry-optimized MnRuCl2 structure, as listed in Alexandria via LeMat-Bulk.

The value obtained for the calculated volume is 17.494 Å³/atom. Its uncorrected energy is -77.535 eV for the cell shown. Its uncorrected formation energy is 689 meV per atom. The crystal system is tetragonal. The mass density is 5.38 g cm⁻³.

It has space group I-42d (No. 122), with a = 5.296 Å, b = 5.296 Å, c = 9.981 Å, α = 90.00°, β = 90.00° and γ = 90.00°. Symmetry generates all atoms from Mn at (0.000, 0.000, 0.000), Ru at (0.000, 0.000, 0.500) and Cl at (0.224, 0.250, 0.125).


Which formula does entry 1 have?
YThTi4


What is the mass density in the third record?
4.03 g cm⁻³